# 1
First-principles (PBE with a Hubbard U) data for an optimized crystal structure of Sr2CuNiO4, as listed in Alexandria.

a b c (Å): 5.2933 5.2933 5.2933
angles (deg): 113.05 113.05 102.53
Atoms (fractional coordinates):
1 Sr 0.0000 0.0000 0.0000
2 Sr 0.7500 0.2500 0.5000
3 Cu 0.2500 0.7500 0.5000
4 Ni 0.5000 0.5000 0.0000
5 O 0.1812 0.5823 0.0525
6 O 0.4177 0.4702 0.5989
7 O 0.5298 0.1287 0.9475
8 O 0.8713 0.8188 0.4011

Summary:
VASP energy: -5.259 eV per atom

---

# 2
First-principles (PBE with a Hubbard U) data for an optimized crystal structure of TaCu2NiO6, as listed in Alexandria.

a b c (Å): 5.0925 5.1017 5.4788
angles (deg): 62.91 88.55 61.13
Atoms (fractional coordinates):
1 Ta 0.0000 0.0000 0.0000
2 Cu 0.2056 0.5984 0.5948
3 Cu 0.7053 0.5952 0.1008
4 Ni 0.4976 0.0071 0.4988
5 O 0.1006 0.5058 0.3141
6 O 0.2793 0.8021 0.7950
7 O 0.3985 0.7929 0.3037
8 O 0.6346 0.0654 0.8209
9 O 0.7804 0.1323 0.2772
10 O 0.9326 0.4651 0.8077

Summary:
VASP energy: -6.587 eV per atom

---

# 3
First-principles (PBE with a Hubbard U) data for an optimized crystal structure of TbCu3Ni4O12, as listed in Alexandria.

a b c (Å): 6.3110 6.3110 6.3110
angles (deg): 109.47 109.47 109.47
Atoms (fractional coordinates):
1 Tb 0.0000 0.0000 0.0000
2 Cu 0.0000 0.5000 0.5000
3 Cu 0.5000 0.0000 0.5000
4 Cu 0.5000 0.5000 0.0000
5 Ni 0.0000 0.0000 0.5000
6 Ni 0.0000 0.5000 0.0000
7 Ni 0.5000 0.0000 0.0000
8 Ni 0.5000 0.5000 0.5000
9 O 0.1379 0.3066 0.8313
10 O 0.1687 0.4752 0.3066
11 O 0.1687 0.8621 0.6934
12 O 0.3066 0.1687 0.4752
13 O 0.3066 0.8313 0.1379
14 O 0.4752 0.3066 0.1687
15 O 0.5248 0.6934 0.8313
16 O 0.6934 0.1687 0.8621
17 O 0.6934 0.8313 0.5248
18 O 0.8313 0.1379 0.3066
19 O 0.8313 0.5248 0.6934
20 O 0.8621 0.6934 0.1687

Summary:
VASP energy: -5.325 eV per atom

---

# 4
First-principles (PBE with a Hubbard U) data for an optimized crystal structure of Cu2NiTeO6, as listed in Alexandria.

a b c (Å): 8.3644 8.3644 8.3644
angles (deg): 109.86 109.44 109.11
Atoms (fractional coordinates):
1 Cu 0.0291 0.7500 0.7791
2 Cu 0.2234 0.4734 0.7500
3 Cu 0.2500 0.2788 0.0288
4 Cu 0.2766 0.0266 0.2500
5 Cu 0.4709 0.2500 0.7209
6 Cu 0.7194 0.9694 0.7500
7 Cu 0.7500 0.2212 0.4712
8 Cu 0.7806 0.5306 0.2500
9 Ni 0.2500 0.7904 0.5404
10 Ni 0.5424 0.7500 0.2924
11 Ni 0.7500 0.7096 0.9596
12 Ni 0.9576 0.2500 0.2076
13 Te 0.0008 0.4966 0.9992
14 Te 0.4992 0.4984 0.4958
15 Te 0.5026 0.0034 0.0042
16 Te 0.9974 0.0016 0.5008
17 O 0.0253 0.8082 0.5725
18 O 0.0382 0.5570 0.2648
19 O 0.0570 0.7674 0.0436
20 O 0.2035 0.2317 0.7666
21 O 0.2238 0.0135 0.4564
22 O 0.2351 0.3053 0.2776
23 O 0.2649 0.5425 0.0702
24 O 0.2762 0.7326 0.7897
25 O 0.2965 0.0631 0.0282
26 O 0.4430 0.4865 0.7103
27 O 0.4618 0.7265 0.5187
28 O 0.4747 0.0473 0.7830
29 O 0.5277 0.9575 0.2224
30 O 0.5350 0.2683 0.4718
31 O 0.5669 0.5182 0.2990
32 O 0.7078 0.9430 0.9813
33 O 0.7191 0.2678 0.2010
34 O 0.7357 0.4527 0.9275
35 O 0.7643 0.6918 0.7170
36 O 0.7809 0.9818 0.5487
37 O 0.7922 0.7735 0.2352
38 O 0.9331 0.2322 0.9513
39 O 0.9650 0.4369 0.7334
40 O 0.9723 0.1947 0.4298

Summary:
VASP energy: -5.167 eV per atom
E above lowest polymorph: 0.000 eV per atom